No. 1
First-principles (PBE) data for an optimized crystal structure of SmUOs, as listed in Alexandria via LeMat-Bulk.

Computed properties:
electronic total energy: -8.715 eV per atom
ΔH_f (0 K): 0.364 eV/atom
D(E_F): 5.5 states/eV/f.u.
E above lowest polymorph: 336.1 meV per atom
crystal system: hexagonal
magnetization: 2.457 μB per cell

```
data_SmUOs
_chemical_formula_sum 'Sm1 U1 Os1'
_symmetry_space_group_name_H-M 'P 1'
_symmetry_Int_Tables_number 1
_symmetry_space_group_name_Hall 'P 1'
_cell_length_a 3.350
_cell_length_b 4.804
_cell_length_c 4.804
_cell_angle_alpha 120.00
_cell_angle_beta 90.00
_cell_angle_gamma 90.00
loop_
_atom_site_label
_atom_site_type_symbol
_atom_site_fract_x
_atom_site_fract_y
_atom_site_fract_z
_atom_site_occupancy
Os1 Os 0.167 0.000 0.000 1
U1 U 0.166 0.667 0.333 1
Sm1 Sm 0.667 0.333 0.667 1
```

No. 2
First-principles (PBE) data for an optimized crystal structure of Y2CdO, as listed in Alexandria via LeMat-Bulk.

Computed properties:
electronic total energy: -5.121 eV per atom
D(E_F): 6.0 states/eV/f.u.
E above lowest polymorph: 1112.0 meV per atom
crystal system: cubic
magnetization: 0.000 μB per cell
raw formation energy: -0.421 eV per atom

```
data_Y2CdO
_chemical_formula_sum 'Y2 Cd1 O1'
_symmetry_space_group_name_H-M 'P 1'
_symmetry_Int_Tables_number 1
_symmetry_space_group_name_Hall 'P 1'
_cell_length_a 4.987
_cell_length_b 4.987
_cell_length_c 4.987
_cell_angle_alpha 60.00
_cell_angle_beta 60.00
_cell_angle_gamma 60.00
loop_
_atom_site_label
_atom_site_type_symbol
_atom_site_fract_x
_atom_site_fract_y
_atom_site_fract_z
_atom_site_occupancy
Y1 Y 0.250 0.250 0.250 1
Y2 Y 0.750 0.750 0.750 1
O1 O 0.000 0.000 0.000 1
Cd1 Cd 0.500 0.500 0.500 1
```

No. 3
First-principles (PBE) data for an optimized crystal structure of CsLiBiTe3, as listed in Alexandria via LeMat-Bulk.

Computed properties:
electronic total energy: -3.292 eV per atom
D(E_F): 2.0 states/eV/f.u.
crystal system: monoclinic
magnetization: 0.000 μB per cell
raw formation energy: -0.613 eV per atom

```
data_CsLiBiTe3
_chemical_formula_sum 'Cs2 Li2 Bi2 Te6'
_symmetry_space_group_name_H-M 'P 1'
_symmetry_Int_Tables_number 1
_symmetry_space_group_name_Hall 'P 1'
_cell_length_a 4.771
_cell_length_b 10.491
_cell_length_c 10.813
_cell_angle_alpha 119.13
_cell_angle_beta 90.00
_cell_angle_gamma 90.00
loop_
_atom_site_label
_atom_site_type_symbol
_atom_site_fract_x
_atom_site_fract_y
_atom_site_fract_z
_atom_site_occupancy
Cs1 Cs 0.750 0.761 0.760 1
Cs2 Cs 0.250 0.239 0.240 1
Li1 Li 0.250 0.110 0.566 1
Li2 Li 0.750 0.890 0.434 1
Bi1 Bi 0.250 0.686 0.164 1
Bi2 Bi 0.750 0.314 0.836 1
Te1 Te 0.250 0.816 0.504 1
Te2 Te 0.750 0.903 0.180 1
Te3 Te 0.750 0.491 0.169 1
Te4 Te 0.750 0.184 0.496 1
Te5 Te 0.250 0.509 0.831 1
Te6 Te 0.250 0.097 0.820 1
```